Ni3OF5 | the Alexandria database | PBE+U | optimized geometry; E above lowest polymorph = 0.0046 eV/atom; space-group type = No. 12; Fermi-level density of states = 0.37 states/eV per cell
1.0
4.5184 -3.3609 0.0000
4.5184 3.3609 0.0000
-2.6830 0.0000 6.7590
Ni O F
6 2 10
Cartesian
0.0000 0.0000 0.0000
-1.3415 0.0000 3.3795
2.0692 0.0000 2.2849
0.7960 0.0000 5.5831
5.5578 0.0000 1.1760
4.2846 0.0000 4.4742
0.6442 0.0000 3.6195
5.7096 0.0000 3.1396
0.7829 2.0344 5.6286
-1.2276 0.0000 5.4063
3.1769 1.3166 3.3795
5.5709 2.0344 1.1305
3.5452 0.0000 0.8761
2.8086 0.0000 5.8829
0.7829 -2.0344 5.6286
3.1769 -1.3166 3.3795
7.5814 0.0000 1.3528
5.5709 -2.0344 1.1305